Computed, not measured: a relaxed structure of LiGdTe3Pb at the GGA-PBE level of DFT.

```
LiGdTe3Pb
1.0
2.206 -7.263 0.000
2.206 7.263 0.000
0.000 0.000 11.481
Li Gd Te Pb
2 2 6 2
direct
0.023 0.977 0.750
0.977 0.023 0.250
0.500 0.500 0.000
0.500 0.500 0.500
0.142 0.858 0.565
0.142 0.858 0.935
0.412 0.588 0.750
0.588 0.412 0.250
0.858 0.142 0.065
0.858 0.142 0.435
0.261 0.739 0.250
0.739 0.261 0.750
```

Values from the calculation:
Magnetization: 0.00 μB per cell
DFT total energy: -4.214 eV/atom
Volume: 30.7 A^3/atom

---

Computed, not measured: a relaxed structure of Cu2BiMo at the GGA-PBE level of DFT.

```
Cu2BiMo
1.0
0.000 3.224 3.224
3.224 0.000 3.224
3.224 3.224 0.000
Cu Bi Mo
2 1 1
direct
0.000 0.000 0.000
0.250 0.250 0.250
0.500 0.500 0.500
0.750 0.750 0.750
```

Values from the calculation:
Magnetization: 0.55 μB per cell
DFT total energy: -4.921 eV/atom
Volume: 16.7 A^3/atom